(1)
## KScTc2As (GGA-PBE)

Data for a relaxed KScTc2As crystal.

Calculated values
Space-group type: No. 123
ρ in g/cm³: 6.02
Volume in Å³ per atom: 19.58
Electronic total energy in eV/atom: -4.273

a b c (Å): 4.5290 4.5290 4.7722
angles (deg): 90.00 90.00 90.00
Fractional positions:
K 0.0000 0.0000 0.0000
Sc 0.0000 0.0000 0.5000
Tc 0.0000 0.5000 0.0000
Tc 0.5000 0.0000 0.0000
As 0.5000 0.5000 0.5000

***

(2)
## KAsSe2 (GGA-PBE)

Data for a relaxed KAsSe2 crystal.

Calculated values
Space-group type: No. 119
ρ in g/cm³: 4.72
Volume in Å³ per atom: 23.93
Electronic total energy in eV/atom: -3.147

a b c (Å): 6.0890 6.0890 6.0890
angles (deg): 139.14 139.14 59.17
Fractional positions:
K 0.0000 0.0000 0.0000
As 0.7500 0.2500 0.5000
Se 0.2500 0.7500 0.5000
Se 0.5000 0.5000 0.0000

***

(3)
## K2AsSe (GGA-PBE)

Data for a relaxed K2AsSe crystal.

Calculated values
Space-group type: No. 47
ρ in g/cm³: 3.45
Volume in Å³ per atom: 27.89
Electronic total energy in eV/atom: -2.997

a b c (Å): 4.0731 4.6497 5.8916
angles (deg): 90.00 90.00 90.00
Fractional positions:
K 0.0000 0.0000 0.2460
K 0.0000 0.0000 0.7540
As 0.5000 0.5000 0.5000
Se 0.5000 0.5000 0.0000

***

electronic total energy of number 1 (KScTc2As)?
-4.273 eV/atom

***

What is the formula in the second record?
KAsSe2